Run P
First-principles (PBE-GGA) data for a relaxed structure of LiPrCd2, as listed in the Alexandria database.

Summary:
Space group: Fm-3m
DOS at the Fermi energy: 3.40 states/eV per cell

Cell: 5.193 5.193 5.193 Å, 60.00 60.00 60.00°
Fractional positions:
Li 0.000 0.000 0.000
Pr 0.500 0.500 0.500
Cd 0.250 0.250 0.250
Cd 0.750 0.750 0.750


Run Q
First-principles (PBE-GGA) data for a relaxed structure of LiPrCd2, as listed in the Alexandria database.

Summary:
Space group: P4/mmm
DOS at the Fermi energy: 3.35 states/eV per cell

Cell: 3.514 3.514 7.718 Å, 90.00 90.00 90.00°
Fractional positions:
Li 0.000 0.000 0.000
Pr 0.000 0.000 0.500
Cd 0.500 0.500 0.202
Cd 0.500 0.500 0.798


Run R
First-principles (PBE-GGA) data for a relaxed structure of LiPrCd2, as listed in the Alexandria database.

Summary:
Space group: P4/mmm
DOS at the Fermi energy: 2.49 states/eV per cell

Cell: 5.390 5.390 3.597 Å, 90.00 90.00 90.00°
Fractional positions:
Li 0.000 0.000 0.000
Pr 0.500 0.500 0.000
Cd 0.000 0.500 0.500
Cd 0.500 0.000 0.500


Relative energy table, unit meV per atom: run P 0; run Q 23; run R 84


Run P
First-principles (PBE-GGA) data for a relaxed structure of LiCd2Pt2, as listed in the Alexandria database.

Summary:
Space group: I4/mmm
DOS at the Fermi energy: 1.70 states/eV per cell

Cell: 6.702 6.702 6.702 Å, 143.14 143.14 53.12°
Fractional positions:
Li 0.000 0.000 0.000
Cd 0.250 0.750 0.500
Cd 0.750 0.250 0.500
Pt 0.395 0.395 0.000
Pt 0.605 0.605 0.000


Run Q
First-principles (PBE-GGA) data for a relaxed structure of LiCd2Pt2, as listed in the Alexandria database.

Summary:
Space group: P4/mbm
DOS at the Fermi energy: 2.74 states/eV per cell

Cell: 8.020 8.020 2.961 Å, 90.00 90.00 90.00°
Fractional positions:
Li 0.000 0.000 0.000
Li 0.500 0.500 0.000
Cd 0.143 0.357 0.000
Cd 0.357 0.857 0.000
Cd 0.643 0.143 0.000
Cd 0.857 0.643 0.000
Pt 0.155 0.655 0.500
Pt 0.345 0.155 0.500
Pt 0.655 0.845 0.500
Pt 0.845 0.345 0.500


Relative energy table, unit meV per atom: run P 171; run Q 0


Run P
First-principles (PBE-GGA) data for a relaxed structure of Li2Cd2Pt, as listed in the Alexandria database.

Summary:
Space group: C2/m
DOS at the Fermi energy: 1.25 states/eV per cell

Cell: 4.710 4.710 5.632 Å, 119.66 119.66 57.05°
Fractional positions:
Li 0.197 0.197 0.083
Li 0.803 0.803 0.917
Cd 0.397 0.397 0.687
Cd 0.603 0.603 0.313
Pt 0.000 0.000 0.500


Run Q
First-principles (PBE-GGA) data for a relaxed structure of Li2Cd2Pt, as listed in the Alexandria database.

Summary:
Space group: P4/mbm
DOS at the Fermi energy: 4.50 states/eV per cell

Cell: 7.243 7.243 3.067 Å, 90.00 90.00 90.00°
Fractional positions:
Li 0.135 0.365 0.000
Li 0.365 0.865 0.000
Li 0.635 0.135 0.000
Li 0.865 0.635 0.000
Cd 0.163 0.663 0.500
Cd 0.337 0.163 0.500
Cd 0.663 0.837 0.500
Cd 0.837 0.337 0.500
Pt 0.000 0.000 0.000
Pt 0.500 0.500 0.000


Run R
First-principles (PBE-GGA) data for a relaxed structure of Li2Cd2Pt, as listed in the Alexandria database.

Summary:
Space group: Ibam
DOS at the Fermi energy: 3.25 states/eV per cell

Cell: 7.452 7.452 7.452 Å, 135.34 63.51 137.28°
Fractional positions:
Li 0.168 0.151 0.319
Li 0.332 0.651 0.983
Li 0.668 0.349 0.017
Li 0.832 0.849 0.681
Cd 0.106 0.639 0.745
Cd 0.394 0.139 0.533
Cd 0.606 0.861 0.467
Cd 0.894 0.361 0.255
Pt 0.250 0.250 0.000
Pt 0.750 0.750 0.000


Relative energy table, unit meV per atom: run P 0; run Q 219; run R 104


Run P
First-principles (PBE-GGA) data for a relaxed structure of LiCd3Pt, as listed in the Alexandria database.

Summary:
Space group: P-1
DOS at the Fermi energy: 2.31 states/eV per cell

Cell: 4.556 4.585 9.111 Å, 90.00 75.66 89.99°
Fractional positions:
Li 0.159 0.251 0.182
Li 0.841 0.749 0.818
Cd 0.060 0.750 0.382
Cd 0.251 0.750 0.999
Cd 0.440 0.750 0.622
Cd 0.560 0.250 0.378
Cd 0.749 0.250 0.001
Cd 0.940 0.250 0.618
Pt 0.344 0.250 0.810
Pt 0.656 0.750 0.190


Run Q
First-principles (PBE-GGA) data for a relaxed structure of LiCd3Pt, as listed in the Alexandria database.

Summary:
Space group: C2/m
DOS at the Fermi energy: 3.67 states/eV per cell

Cell: 5.275 5.275 9.676 Å, 110.60 110.60 52.93°
Fractional positions:
Li 0.122 0.122 0.124
Li 0.878 0.878 0.876
Cd 0.002 0.002 0.338
Cd 0.308 0.308 0.642
Cd 0.383 0.383 0.072
Cd 0.617 0.617 0.928
Cd 0.692 0.692 0.358
Cd 0.998 0.998 0.662
Pt 0.359 0.359 0.367
Pt 0.641 0.641 0.633


Run R
First-principles (PBE-GGA) data for a relaxed structure of LiCd3Pt, as listed in the Alexandria database.

Summary:
Space group: Pm-3m
DOS at the Fermi energy: 2.08 states/eV per cell

Cell: 5.220 5.220 5.220 Å, 90.00 90.00 90.00°
Fractional positions:
Li 0.000 0.000 0.000
Cd 0.000 0.500 0.500
Cd 0.500 0.000 0.500
Cd 0.500 0.500 0.000
Pt 0.500 0.500 0.500


Relative energy table, unit meV per atom: run P 0; run Q 158; run R 280


Run P
First-principles (PBE-GGA) data for a relaxed structure of Li8Cd2Pt, as listed in the Alexandria database.

Summary:
Space group: C2/m
DOS at the Fermi energy: 3.11 states/eV per cell

Cell: 7.562 7.562 6.363 Å, 104.67 104.67 31.73°
Fractional positions:
Li 0.035 0.035 0.249
Li 0.132 0.132 0.660
Li 0.332 0.332 0.596
Li 0.411 0.411 0.077
Li 0.589 0.589 0.923
Li 0.668 0.668 0.404
Li 0.868 0.868 0.340
Li 0.965 0.965 0.751
Cd 0.217 0.217 0.142
Cd 0.783 0.783 0.858
Pt 0.500 0.500 0.500


Run Q
First-principles (PBE-GGA) data for a relaxed structure of Li8Cd2Pt, as listed in the Alexandria database.

Summary:
Space group: Immm
DOS at the Fermi energy: 4.27 states/eV per cell

Cell: 7.020 7.020 7.020 Å, 141.28 115.92 77.45°
Fractional positions:
Li 0.126 0.126 0.000
Li 0.169 0.366 0.804
Li 0.311 0.000 0.311
Li 0.438 0.634 0.804
Li 0.562 0.366 0.196
Li 0.689 0.000 0.689
Li 0.831 0.634 0.196
Li 0.874 0.874 0.000
Cd 0.270 0.770 0.500
Cd 0.730 0.230 0.500
Pt 0.000 0.500 0.500


Relative energy table, unit meV per atom: run P 0; run Q 25


Run P
First-principles (PBE-GGA) data for a relaxed structure of Li4CdPt, as listed in the Alexandria database.

Summary:
Space group: P-1
DOS at the Fermi energy: 3.48 states/eV per cell

Cell: 4.388 4.392 5.578 Å, 89.58 89.94 60.04°
Fractional positions:
Li 0.166 0.168 0.225
Li 0.167 0.165 0.778
Li 0.833 0.835 0.222
Li 0.834 0.832 0.775
Cd 0.500 0.500 0.500
Pt 0.500 0.500 0.000


Run Q
First-principles (PBE-GGA) data for a relaxed structure of Li4CdPt, as listed in the Alexandria database.

Summary:
Space group: F-43m
DOS at the Fermi energy: 2.27 states/eV per cell

Cell: 4.975 4.975 4.975 Å, 60.00 60.00 60.00°
Fractional positions:
Li 0.123 0.123 0.123
Li 0.123 0.123 0.631
Li 0.123 0.631 0.123
Li 0.631 0.123 0.123
Cd 0.500 0.500 0.500
Pt 0.750 0.750 0.750


Relative energy table, unit meV per atom: run P 0; run Q 145


Run P
First-principles (PBE-GGA) data for a relaxed structure of Li3Cd3Pt, as listed in the Alexandria database.

Summary:
Space group: Pnma
DOS at the Fermi energy: 9.66 states/eV per cell

Cell: 11.847 3.973 10.762 Å, 90.00 90.00 90.00°
Fractional positions:
Li 0.005 0.250 0.190
Li 0.186 0.750 0.557
Li 0.215 0.750 0.812
Li 0.285 0.250 0.312
Li 0.314 0.250 0.057
Li 0.495 0.750 0.690
Li 0.505 0.250 0.310
Li 0.686 0.750 0.943
Li 0.715 0.750 0.688
Li 0.785 0.250 0.188
Li 0.814 0.250 0.443
Li 0.995 0.750 0.810
Cd 0.061 0.250 0.421
Cd 0.092 0.250 0.952
Cd 0.168 0.750 0.171
Cd 0.332 0.250 0.671
Cd 0.408 0.750 0.452
Cd 0.439 0.750 0.921
Cd 0.561 0.250 0.079
Cd 0.592 0.250 0.548
Cd 0.668 0.750 0.329
Cd 0.832 0.250 0.829
Cd 0.908 0.750 0.048
Cd 0.939 0.750 0.579
Pt 0.092 0.250 0.689
Pt 0.408 0.750 0.189
Pt 0.592 0.250 0.811
Pt 0.908 0.750 0.311


Run Q
First-principles (PBE-GGA) data for a relaxed structure of Li3Cd3Pt, as listed in the Alexandria database.

Summary:
Space group: R-3
DOS at the Fermi energy: 3.27 states/eV per cell

Cell: 7.509 7.509 7.509 Å, 57.81 57.81 57.81°
Fractional positions:
Li 0.052 0.757 0.553
Li 0.243 0.447 0.948
Li 0.447 0.948 0.243
Li 0.553 0.052 0.757
Li 0.757 0.553 0.052
Li 0.948 0.243 0.447
Cd 0.093 0.322 0.756
Cd 0.244 0.907 0.678
Cd 0.322 0.756 0.093
Cd 0.678 0.244 0.907
Cd 0.756 0.093 0.322
Cd 0.907 0.678 0.244
Pt 0.317 0.317 0.317
Pt 0.683 0.683 0.683


Relative energy table, unit meV per atom: run P 0; run Q 94


Run P
First-principles (PBE-GGA) data for a relaxed structure of Li2Cd6Pt, as listed in the Alexandria database.

Summary:
Space group: C2/m
DOS at the Fermi energy: 1.36 states/eV per cell

Cell: 4.737 4.737 8.867 Å, 90.39 90.39 60.22°
Fractional positions:
Li 0.167 0.167 0.293
Li 0.833 0.833 0.707
Cd 0.167 0.167 0.599
Cd 0.167 0.167 0.946
Cd 0.500 0.500 0.184
Cd 0.500 0.500 0.816
Cd 0.833 0.833 0.054
Cd 0.833 0.833 0.401
Pt 0.500 0.500 0.500


Run Q
First-principles (PBE-GGA) data for a relaxed structure of Li2Cd6Pt, as listed in the Alexandria database.

Summary:
Space group: P4_2/mnm
DOS at the Fermi energy: 7.32 states/eV per cell

Cell: 6.246 6.246 11.980 Å, 90.00 90.00 90.00°
Fractional positions:
Li 0.000 0.000 0.225
Li 0.000 0.000 0.775
Li 0.500 0.500 0.275
Li 0.500 0.500 0.725
Cd 0.197 0.197 0.500
Cd 0.235 0.765 0.374
Cd 0.235 0.765 0.626
Cd 0.265 0.265 0.126
Cd 0.265 0.265 0.874
Cd 0.303 0.697 0.000
Cd 0.697 0.303 0.000
Cd 0.735 0.735 0.126
Cd 0.735 0.735 0.874
Cd 0.765 0.235 0.374
Cd 0.765 0.235 0.626
Cd 0.803 0.803 0.500
Pt 0.000 0.000 0.000
Pt 0.500 0.500 0.500


Relative energy table, unit meV per atom: run P 0; run Q 294


Run P
First-principles (PBE-GGA) data for a relaxed structure of Li6CdPt, as listed in the Alexandria database.

Summary:
Space group: Pmm2
DOS at the Fermi energy: 3.33 states/eV per cell

Cell: 4.551 5.907 4.784 Å, 90.00 90.00 90.00°
Fractional positions:
Li 0.000 0.000 0.000
Li 0.000 0.230 0.455
Li 0.000 0.770 0.455
Li 0.500 0.224 0.827
Li 0.500 0.500 0.332
Li 0.500 0.776 0.827
Cd 0.000 0.500 0.947
Pt 0.500 0.000 0.330


Run Q
First-principles (PBE-GGA) data for a relaxed structure of Li6CdPt, as listed in the Alexandria database.

Summary:
Space group: P-6m2
DOS at the Fermi energy: 2.20 states/eV per cell

Cell: 5.710 5.710 4.552 Å, 90.00 90.00 120.00°
Fractional positions:
Li 0.001 0.501 0.000
Li 0.153 0.306 0.500
Li 0.153 0.847 0.500
Li 0.499 0.501 0.000
Li 0.499 0.999 0.000
Li 0.694 0.847 0.500
Cd 0.667 0.333 0.500
Pt 0.000 0.000 0.000


Relative energy table, unit meV per atom: run P 0; run Q 22